(1)
# As2PdN2 PBE relaxed
# Volume = 15.9 A^3/atom
# Formation energy from raw total energies = 679 meV per atom
# Distance to the lowest polymorph of the same formula = 0 meV per atom
data_As2PdN2
_chemical_formula_sum 'As4 Pd2 N4'
_cell_length_a 7.349
_cell_length_b 7.349
_cell_length_c 2.940
_cell_angle_alpha 90.00
_cell_angle_beta 90.00
_cell_angle_gamma 90.00
_space_group_name_H-M_alt 'P 4/m b m'
_space_group_IT_number 127
_space_group_name_Hall '-P 4 2ab'
loop_
_atom_site_label
_atom_site_type_symbol
_atom_site_fract_x
_atom_site_fract_y
_atom_site_fract_z
_atom_site_occupancy
As1 As 0.206 0.294 0.000 1
Pd1 Pd 0.000 0.000 0.000 1
N1 N 0.184 0.684 0.500 1

---

(2)
# As2PdN PBE relaxed
# Volume = 17.6 A^3/atom
# Formation energy from raw total energies = 350 meV per atom
data_As2PdN
_chemical_formula_sum 'As8 Pd4 N4'
_cell_length_a 5.350
_cell_length_b 5.350
_cell_length_c 9.850
_cell_angle_alpha 90.00
_cell_angle_beta 90.00
_cell_angle_gamma 90.00
_space_group_name_H-M_alt 'I -4 2 d'
_space_group_IT_number 122
_space_group_name_Hall 'I -4 2bw'
loop_
_atom_site_label
_atom_site_type_symbol
_atom_site_fract_x
_atom_site_fract_y
_atom_site_fract_z
_atom_site_occupancy
As1 As 0.195 0.250 0.125 1
Pd1 Pd 0.000 0.000 0.500 1
N1 N 0.000 0.000 0.000 1

---

(3)
# As3PdN PBE relaxed
# Volume = 22.3 A^3/atom
# Formation energy from raw total energies = 1701 meV per atom
# Distance to the lowest polymorph of the same formula = 1109 meV per atom
data_As3PdN
_chemical_formula_sum 'As3 Pd1 N1'
_cell_length_a 4.815
_cell_length_b 4.815
_cell_length_c 4.815
_cell_angle_alpha 90.00
_cell_angle_beta 90.00
_cell_angle_gamma 90.00
_space_group_name_H-M_alt 'P m -3 m'
_space_group_IT_number 221
_space_group_name_Hall '-P 4 2 3'
loop_
_atom_site_label
_atom_site_type_symbol
_atom_site_fract_x
_atom_site_fract_y
_atom_site_fract_z
_atom_site_occupancy
As1 As 0.000 0.000 0.500 1
Pd1 Pd 0.000 0.000 0.000 1
N1 N 0.500 0.500 0.500 1

---

(4)
# AsPdN3 PBE relaxed
# Volume = 10.5 A^3/atom
# Formation energy from raw total energies = 1725 meV per atom
data_AsPdN3
_chemical_formula_sum 'As1 Pd1 N3'
_cell_length_a 3.746
_cell_length_b 3.746
_cell_length_c 3.746
_cell_angle_alpha 90.00
_cell_angle_beta 90.00
_cell_angle_gamma 90.00
_space_group_name_H-M_alt 'P m -3 m'
_space_group_IT_number 221
_space_group_name_Hall '-P 4 2 3'
loop_
_atom_site_label
_atom_site_type_symbol
_atom_site_fract_x
_atom_site_fract_y
_atom_site_fract_z
_atom_site_occupancy
As1 As 0.000 0.000 0.000 1
Pd1 Pd 0.500 0.500 0.500 1
N1 N 0.000 0.000 0.500 1